1.
The following is a DFT calculation (PBE) of BaScOF2 after structural relaxation.

Cell: 4.3928 4.3928 4.1609 Å, 90.00 90.00 90.00°
Positions (direct):
Sc (0.0000, 0.0000, 0.0000)
Ba (0.5000, 0.5000, 0.5000)
O (0.0000, 0.0000, 0.5000)
F (0.0000, 0.5000, 0.0000)
F (0.5000, 0.0000, 0.0000)

Summary:
The formation energy without anion corrections is -3.1220 eV/atom. The calculation puts the distance to the lowest polymorph of the same formula at 0.000 eV per formula unit.



2.
The following is a DFT calculation (PBE) of SmTmCuPt after structural relaxation.

Cell: 3.7896 4.4132 5.6534 Å, 90.00 109.58 90.00°
Positions (direct):
Sm (0.1407, 0.0000, 0.2814)
Tm (0.8630, 0.5000, 0.7259)
Cu (0.5764, 0.5000, 0.1529)
Pt (0.4199, 0.0000, 0.8398)

Summary:
Its formation energy is -0.78 eV per atom. The calculation puts the distance to the lowest polymorph of the same formula at 0.000 eV per formula unit.



3.
The following is a DFT calculation (PBE) of CaCeAs2Rh2 after structural relaxation.

Cell: 4.2446 4.2446 7.9929 Å, 90.00 90.00 120.00°
Positions (direct):
Ca (0.0000, 0.0000, 0.0000)
Ce (0.0000, 0.0000, 0.5000)
As (0.3333, 0.6667, 0.2512)
As (0.6667, 0.3333, 0.7488)
Rh (0.3333, 0.6667, 0.7353)
Rh (0.6667, 0.3333, 0.2647)

Summary:
Its formation energy is -0.98 eV per atom.



4.
The following is a DFT calculation (PBE) of Nd2Pd5 after structural relaxation.

Cell: 5.9481 7.3072 7.3660 Å, 60.26 89.99 90.00°
Positions (direct):
Nd (0.5000, 0.3009, 0.7947)
Nd (0.0000, 0.0956, 0.2053)
Nd (0.5000, 0.6991, 0.2053)
Nd (0.0000, 0.9044, 0.7947)
Pd (0.5000, 0.1003, 0.2605)
Pd (0.0000, 0.3608, 0.7395)
Pd (0.2500, 0.7314, 0.5372)
Pd (0.2500, 0.2686, 0.4628)
Pd (0.7500, 0.2686, 0.4628)
Pd (0.7500, 0.7314, 0.5372)
Pd (0.0000, 0.6392, 0.2605)
Pd (0.5000, 0.8997, 0.7395)
Pd (0.7500, 0.5000, 0.0000)
Pd (0.2500, 0.5000, 0.0000)

Summary:
Its formation energy is -0.73 eV per atom.



5.
The following is a DFT calculation (PBE) of Nd6Ge2RhBr3 after structural relaxation.

Cell: 4.2163 9.0088 9.7629 Å, 104.52 102.47 90.00°
Positions (direct):
Nd (0.3481, 0.8961, 0.6963)
Nd (0.6747, 0.5671, 0.3495)
Nd (0.6519, 0.1039, 0.3037)
Nd (0.0060, 0.2197, 0.0119)
Nd (0.9940, 0.7803, 0.9881)
Nd (0.3253, 0.4329, 0.6505)
Ge (0.8349, 0.6614, 0.6699)
Ge (0.1651, 0.3386, 0.3301)
Rh (0.5000, 0.0000, 0.0000)
Br (0.5000, 0.5000, 0.0000)
Br (0.8262, 0.1633, 0.6523)
Br (0.1738, 0.8367, 0.3477)

Summary:
The formation energy without anion corrections is -1.0881 eV/atom.



6.
The following is a DFT calculation (PBE) of Pm5NdHg6 after structural relaxation.

Cell: 5.3834 7.6734 8.5263 Å, 90.00 108.68 90.00°
Positions (direct):
Nd (0.0000, 0.0000, 0.0000)
Hg (0.8336, 0.7490, 0.6649)
Hg (0.8336, 0.2510, 0.6649)
Hg (0.5000, 0.2518, 0.0000)
Hg (0.5000, 0.7482, 0.0000)
Hg (0.1664, 0.7490, 0.3351)
Hg (0.1664, 0.2510, 0.3351)
Pm (0.6655, 0.5000, 0.3326)
Pm (0.3342, 0.0000, 0.6668)
Pm (0.0000, 0.5000, 0.0000)
Pm (0.6658, 0.0000, 0.3332)
Pm (0.3345, 0.5000, 0.6674)

Summary:
Its formation energy is -0.47 eV per atom.



7.
The following is a DFT calculation (PBE) of GeBiPd after structural relaxation.

Cell: 5.3545 4.2337 5.8845 Å, 90.00 98.13 90.00°
Positions (direct):
Ge (0.6745, 0.2500, 0.5849)
Ge (0.3255, 0.7500, 0.4151)
Bi (0.2411, 0.2500, 0.9098)
Bi (0.7589, 0.7500, 0.0902)
Pd (0.0377, 0.2500, 0.3412)
Pd (0.9623, 0.7500, 0.6588)

Summary:
Its formation energy is -0.18 eV per atom. The calculation puts the distance to the lowest polymorph of the same formula at 0.112 eV per formula unit.



8.
The following is a DFT calculation (PBE) of Ti5Al6 after structural relaxation.

Cell: 5.2038 5.9864 7.4018 Å, 79.67 65.64 64.24°
Positions (direct):
Ti (0.5000, 0.0000, 0.5000)
Ti (0.3552, 0.2896, 0.0000)
Ti (0.6448, 0.7104, 0.0000)
Ti (0.2267, 0.5466, 0.5000)
Ti (0.7733, 0.4534, 0.5000)
Al (0.8241, 0.0000, 0.6885)
Al (0.1759, 0.0000, 0.3115)
Al (0.2693, 0.7294, 0.8080)
Al (0.0013, 0.7294, 0.1920)
Al (0.7307, 0.2706, 0.1920)
Al (0.9987, 0.2706, 0.8080)

Summary:
Its formation energy is -0.12 eV per atom.



9.
The following is a DFT calculation (PBE) of ZrAl2Cl after structural relaxation.

Cell: 4.7741 4.7741 4.7741 Å, 60.00 60.00 60.00°
Positions (direct):
Al (0.0000, 0.0000, 0.0000)
Al (0.7500, 0.7500, 0.7500)
Zr (0.2500, 0.2500, 0.2500)
Cl (0.5000, 0.5000, 0.5000)

Summary:
The formation energy without anion corrections is 0.0360 eV/atom. The calculation puts the distance to the lowest polymorph of the same formula at 1.889 eV per formula unit.



10.
The following is a DFT calculation (PBE) of Na8B13C3 after structural relaxation.

Cell: 10.1700 10.1700 2.8099 Å, 90.00 90.00 117.03°
Positions (direct):
Na (0.7493, 0.7503, 0.5000)
Na (0.5003, 0.9993, 0.5000)
Na (0.2499, 0.2479, 0.5000)
Na (0.9979, 0.4999, 0.5000)
Na (0.4993, 0.5014, 0.0000)
Na (0.2514, 0.7493, 0.0000)
Na (0.0005, 0.0021, 0.0000)
Na (0.7521, 0.2505, 0.0000)
C (0.0436, 0.2936, 0.0000)
C (0.2052, 0.9564, 0.5000)
C (0.7064, 0.4552, 0.5000)
B (0.5465, 0.7965, 0.0000)
B (0.4503, 0.2000, 0.0000)
B (0.2837, 0.0342, 0.0000)
B (0.7071, 0.9571, 0.0000)
B (0.9500, 0.7003, 0.0000)
B (0.7842, 0.5337, 0.0000)
B (0.1903, 0.4403, 0.0000)
B (0.2910, 0.5410, 0.5000)
B (0.0573, 0.8078, 0.5000)
B (0.4499, 0.6999, 0.5000)
B (0.8069, 0.0569, 0.5000)
B (0.5578, 0.3073, 0.5000)
B (0.9692, 0.2192, 0.5000)

Summary:
Its formation energy is 0.18 eV per atom. The calculation puts the distance to the lowest polymorph of the same formula at 0.032 eV per formula unit.



Result set for total DFT energy (no corrections): -6.51, -5.61, -6.30, -5.80, -5.27, -3.00, -4.74, -5.75, -4.43, -5.03 eV per atom, one per record in the order listed.
Result set for volume: 16.058, 22.270, 20.785, 19.857, 29.162, 27.805, 22.010, 17.198, 19.236, 10.787 Å³/atom, one per record in the order listed.